LaTc3 (PBE, relaxed); SG = No. 12; total magnetic moment = 0.00 μB per formula unit; V = 19.6 A^3/atom; energy relative to the elements = 145 kJ/mol of formula units
1.0
3.129 0.000 0.000
-1.564 4.695 -0.017
0.000 -1.634 5.348
La Tc
1 3
Direct
0.000 0.000 0.000
0.780 0.560 0.336
0.500 0.000 0.500
0.220 0.440 0.664